VASP calculation (PBE) on a relaxed structure of NaZrZn3.

Geometry as POSCAR:
```
NaZrZn3
1.0
-4.264 1.391 1.139
-1.451 -0.928 -4.295
-1.063 -4.315 1.291
Zn Na Zr
3 1 1
Direct
0.500 0.000 0.000
0.000 0.000 0.500
0.000 0.500 0.000
0.000 0.000 0.000
0.500 0.500 0.500
```

* polymorph energy (0 for the lowest one): 0.090 eV/atom
* formation energy: 0.73 eV/atom

---

VASP calculation (PBE) on a relaxed structure of Ac2CePaN4.

Geometry as POSCAR:
```
Ac2CePaN4
1.0
3.665 0.000 0.000
0.000 6.335 0.114
0.000 -2.213 6.129
N Ac Pa Ce
4 2 1 1
Direct
0.500 0.782 0.805
0.000 0.251 0.802
0.000 0.749 0.198
0.500 0.218 0.195
0.000 0.500 0.500
0.500 0.000 0.500
0.000 0.000 0.000
0.500 0.500 0.000
```

* E_tot: -8.495 eV per atom